Entry from Alexandria via LeMat-Bulk: a relaxed structure of LiPu2ZrSe4 (PBE).

Properties
Space-group type: P2/m
Raw formation energy in eV/atom: -1.402
Final energy in eV per atom: -8.035
DOS at the Fermi energy in states/eV per cell: 17.66

Cell lengths 4.0229, 7.0611, 6.8273 Å; angles 109.64, 90.00, 90.00 degrees
Last column: nearest neighbours and their distance in Å.
Sites, in units of the cell vectors:
Li (0.0000, 0.0000, 0.0000)  6 Se 2.77
Pu (0.5000, 0.0000, 0.5000)  6 Se 2.89-2.91
Pu (0.0000, 0.5000, 0.5000)  6 Se 2.91
Zr (0.5000, 0.5000, 0.0000)  6 Se 2.76-2.78
Se (0.5000, 0.2446, 0.2307)  1 Zr 2.76, 2 Li 2.77, 3 Pu 2.91
Se (0.5000, 0.7554, 0.7693)  1 Zr 2.76, 2 Li 2.77, 3 Pu 2.91
Se (0.0000, 0.2540, 0.7661)  1 Li 2.77, 2 Zr 2.78, 3 Pu 2.89-2.91
Se (0.0000, 0.7460, 0.2339)  1 Li 2.77, 2 Zr 2.78, 3 Pu 2.89-2.91


Entry from Alexandria via LeMat-Bulk: a relaxed structure of Al4TlPb (PBE).

Properties
Space-group type: F-43m
ΔH_f (0 K) in meV/atom: 207
Final energy in eV per atom: -3.300
DOS at the Fermi energy in states/eV per cell: 3.76

Cell lengths 5.7359, 5.7359, 5.7359 Å; angles 60.00, 60.00, 60.00 degrees
Last column: nearest neighbours and their distance in Å.
Sites, in units of the cell vectors:
Al (0.8742, 0.3753, 0.3753)  6 Al 2.86-2.87
Al (0.3753, 0.3753, 0.8742)  6 Al 2.86-2.87
Al (0.3753, 0.8742, 0.3753)  6 Al 2.86-2.87
Al (0.3753, 0.3753, 0.3753)  6 Al 2.86-2.87
Tl (0.0000, 0.0000, 0.0000)  12 Al 3.36, 4 Pb 3.51
Pb (0.7500, 0.7500, 0.7500)  12 Al 3.36, 4 Tl 3.51


Entry from Alexandria via LeMat-Bulk: a relaxed structure of UPRuSe (PBE).

Properties
Space-group type: P4/nmm
Raw formation energy in eV/atom: -0.762
Final energy in eV per atom: -8.127
DOS at the Fermi energy in states/eV per cell: 14.09

Cell lengths 4.0637, 4.0637, 8.8171 Å; angles 90.00, 90.00, 90.00 degrees
Last column: nearest neighbours and their distance in Å.
Sites, in units of the cell vectors:
U (0.5000, 0.0000, 0.7374)  4 Se 2.92, 4 P 3.05, 4 Ru 3.08
U (0.0000, 0.5000, 0.2626)  4 Se 2.92, 4 P 3.05, 4 Ru 3.08
P (0.0000, 0.5000, 0.8517)  4 Ru 2.42
P (0.5000, 0.0000, 0.1483)  4 Ru 2.42
Ru (0.5000, 0.5000, 0.0000)  4 P 2.42
Ru (0.0000, 0.0000, 0.0000)  4 P 2.42
Se (0.0000, 0.0000, 0.5000)  4 Se 2.87, 4 U 2.92
Se (0.5000, 0.5000, 0.5000)  4 Se 2.87, 4 U 2.92


Entry from Alexandria via LeMat-Bulk: a relaxed structure of La2Pm8Y (PBE).

Properties
Space-group type: C2/m
Energy relative to the lowest polymorph listed for this composition in eV per atom: 0.148
ΔH_f (0 K) in meV/atom: 165
Final energy in eV per atom: -4.774
DOS at the Fermi energy in states/eV per cell: 16.85

Cell lengths 5.7453, 10.3356, 10.3356 Å; angles 40.46, 93.47, 93.47 degrees
Last column: nearest neighbours and their distance in Å.
Sites, in units of the cell vectors:
La (0.7377, 0.2838, 0.2838)  9 Pm 3.33-3.71
La (0.2623, 0.7162, 0.7162)  9 Pm 3.33-3.71
Pm (0.2686, 0.1372, 0.6098)  6 Pm 3.38-3.77, 1 Y 3.53, 2 La 3.58-3.71
Pm (0.2686, 0.6098, 0.1372)  6 Pm 3.38-3.77, 1 Y 3.53, 2 La 3.58-3.71
Pm (0.7314, 0.8628, 0.3902)  6 Pm 3.38-3.77, 1 Y 3.53, 2 La 3.58-3.71
Pm (0.2354, 0.5443, 0.5443)  1 Pm 3.11, 1 La 3.33
Pm (0.7314, 0.3902, 0.8628)  6 Pm 3.38-3.77, 1 Y 3.53, 2 La 3.58-3.71
Pm (0.2256, 0.1844, 0.1844)  4 La 3.41-3.63, 4 Pm 3.53-3.70, 1 Y 3.73
Pm (0.7744, 0.8156, 0.8156)  4 La 3.41-3.63, 4 Pm 3.53-3.70, 1 Y 3.73
Pm (0.7646, 0.4557, 0.4557)  1 Pm 3.11, 1 La 3.33
Y (0.0000, 0.0000, 0.0000)  10 Pm 3.53-3.90


Entry from Alexandria via LeMat-Bulk: a relaxed structure of CsTm6Se8 (PBE).

Properties
Space-group type: P-3
Raw formation energy in eV/atom: -1.726
Final energy in eV per atom: -5.430
DOS at the Fermi energy in states/eV per cell: 10.49

Cell lengths 4.1165, 10.9012, 10.9012 Å; angles 120.00, 90.00, 90.00 degrees
Last column: nearest neighbours and their distance in Å.
Sites, in units of the cell vectors:
Cs (0.5000, 0.0000, 0.0000)  6 Se 3.83, 2 Cs 4.12
Tm (0.7499, 0.5168, 0.6557)  6 Se 2.82-2.92
Tm (0.7499, 0.3443, 0.8611)  6 Se 2.82-2.92
Tm (0.7499, 0.1389, 0.4832)  6 Se 2.82-2.92
Tm (0.2501, 0.4832, 0.3443)  6 Se 2.82-2.92
Tm (0.2501, 0.6557, 0.1389)  6 Se 2.82-2.92
Tm (0.2501, 0.8611, 0.5168)  6 Se 2.82-2.92
Se (0.7502, 0.6411, 0.9555)  4 Tm 2.82-2.86
Se (0.7502, 0.0445, 0.6857)  4 Tm 2.82-2.86
Se (0.7502, 0.3143, 0.3589)  4 Tm 2.82-2.86
Se (0.2498, 0.3589, 0.0445)  4 Tm 2.82-2.86
Se (0.2498, 0.9555, 0.3143)  4 Tm 2.82-2.86
Se (0.2498, 0.6857, 0.6411)  4 Tm 2.82-2.86
Se (0.7496, 0.6667, 0.3333)  6 Tm 2.91-2.92
Se (0.2504, 0.3333, 0.6667)  6 Tm 2.91-2.92


Entry from Alexandria via LeMat-Bulk: a relaxed structure of SbPIr (PBE).

Properties
Space-group type: I4mm
Energy relative to the lowest polymorph listed for this composition in eV per atom: 0.600
Raw formation energy in eV/atom: 0.043
Final energy in eV per atom: -6.088
DOS at the Fermi energy in states/eV per cell: 2.47

Cell lengths 6.5564, 6.5564, 6.5564 Å; angles 153.32, 153.32, 38.09 degrees
Last column: nearest neighbours and their distance in Å.
Sites, in units of the cell vectors:
Sb (0.6534, 0.6534, 0.0000)  4 Sb 3.03, 4 Ir 3.11
P (0.3753, 0.3753, 0.0000)  4 Ir 2.45
Ir (0.9713, 0.9713, 0.0000)  4 P 2.45